Material: Be2HgW
Method: DFT, PBE
State: optimized geometry

Computed properties:
* space-group type: P4/mmm (123)
* V: 52.8 Å³/f.u.
* ΔE_f: 9.33 kcal/mol of atoms
* crystal system: tetragonal
* DFT total energy: -19.1 eV for the cell shown

Cell lengths 4.0401, 4.0391, 3.2348 Å; angles 90.00, 90.00, 90.00 degrees
Element x y z (fractional)
Be 0.0000 0.0000 0.0000
Hg 0.5000 0.0000 0.5000
Be 0.5000 0.5000 0.0000
W 0.0000 0.5000 0.5000